Density functional theory data (PBE) for a relaxed Ba6Na2LiIr crystal.

Cell: 8.094 10.011 12.605 Å, 90.00 84.18 90.00°
Fractional positions:
Ba 0.632 0.039 0.265
Ba 0.324 0.651 0.037
Ba 0.134 0.221 0.052
Ba 0.824 0.849 0.537
Ba 0.676 0.349 0.963
Ba 0.132 0.461 0.765
Ba 0.868 0.539 0.235
Ba 0.634 0.279 0.552
Ba 0.176 0.151 0.463
Ba 0.368 0.961 0.735
Ba 0.366 0.721 0.448
Ba 0.866 0.779 0.948
Na 0.112 0.901 0.232
Na 0.888 0.099 0.768
Na 0.388 0.401 0.268
Na 0.612 0.599 0.732
Ir 0.000 0.500 0.000
Ir 0.500 0.000 0.500
Li 0.500 0.000 0.000
Li 0.000 0.500 0.500

As for the space group: P2_1/c (14). The formation enthalpy at 0 K is -0.043 eV/atom. For the density of states at the Fermi level, the calculation gives 15.524 states/eV/cell.


Density functional theory data (PBE) for a relaxed Ba6NaLi2Ir crystal.

Cell: 8.029 10.101 12.307 Å, 90.00 84.44 90.00°
Fractional positions:
Ba 0.126 0.227 0.071
Ba 0.652 0.057 0.269
Ba 0.176 0.144 0.451
Ba 0.626 0.273 0.571
Ba 0.676 0.356 0.951
Ba 0.824 0.856 0.549
Ba 0.374 0.727 0.429
Ba 0.874 0.773 0.929
Ba 0.848 0.557 0.231
Ba 0.348 0.943 0.731
Ba 0.152 0.443 0.769
Ba 0.324 0.644 0.049
Na 0.000 0.500 0.500
Na 0.500 0.000 0.000
Ir 0.000 0.500 0.000
Ir 0.500 0.000 0.500
Li 0.594 0.604 0.729
Li 0.406 0.396 0.271
Li 0.906 0.104 0.771
Li 0.094 0.896 0.229

As for the space group: P2_1/c (14). The formation enthalpy at 0 K is -0.026 eV/atom. For the density of states at the Fermi level, the calculation gives 15.491 states/eV/cell.


Density functional theory data (PBE) for a relaxed Ba2LiIr3O12 crystal.

Cell: 6.932 6.932 6.932 Å, 63.55 63.55 63.55°
Site moments in Bohr magnetons follow the coordinates.
Fractional positions:
O 0.402 0.882 0.882  0.17
O 0.305 0.305 0.877  -0.03
O 0.882 0.402 0.882  0.17
O 0.305 0.877 0.305  -0.03
O 0.123 0.695 0.695  -0.03
O 0.118 0.118 0.598  0.17
O 0.598 0.118 0.118  0.17
O 0.118 0.598 0.118  0.17
O 0.695 0.695 0.123  -0.03
O 0.882 0.882 0.402  0.17
O 0.877 0.305 0.305  -0.03
O 0.695 0.123 0.695  -0.03
Ba 0.610 0.610 0.610  0.01
Ba 0.390 0.390 0.390  0.01
Ir 0.500 0.000 0.000  0.29
Ir 0.000 0.500 0.000  0.29
Ir 0.000 0.000 0.500  0.29
Li 0.000 0.000 0.000  0.01

As for the space group: R-3m (166). The formation energy from raw total energies comes out at -1.2055 eV per atom. For the density of states at the Fermi level, the calculation gives 7.910 states/eV/cell.


Density functional theory data (PBE) for a relaxed BaLi2Ir2O7 crystal.

Cell: 3.922 3.922 9.695 Å, 101.67 101.67 90.00°
Fractional positions:
Ba 0.000 0.000 0.000
Li 0.750 0.250 0.500
Li 0.250 0.750 0.500
O 0.500 0.500 0.000
O 0.721 0.721 0.441
O 0.279 0.279 0.559
O 0.610 0.110 0.220
O 0.890 0.390 0.780
O 0.110 0.610 0.220
O 0.390 0.890 0.780
Ir 0.383 0.383 0.766
Ir 0.617 0.617 0.234

As for the space group: I4/mmm (139). The formation energy from raw total energies comes out at -1.3177 eV per atom. For the density of states at the Fermi level, the calculation gives 9.108 states/eV/cell.


Density functional theory data (PBE) for a relaxed Ba2LiIrO4 crystal.

Cell: 4.745 6.668 9.815 Å, 85.07 76.01 69.16°
Fractional positions:
O 0.460 0.744 0.418
O 0.629 0.244 0.082
O 0.127 0.244 0.918
O 0.623 0.256 0.582
O 0.796 0.744 0.582
O 0.954 0.756 0.918
O 0.121 0.256 0.418
O 0.290 0.756 0.082
Ba 0.174 0.000 0.652
Ba 0.924 0.500 0.152
Ba 0.826 0.000 0.348
Ba 0.576 0.500 0.848
Li 0.500 0.000 0.000
Li 0.250 0.500 0.500
Ir 0.000 0.000 0.000
Ir 0.750 0.500 0.500

As for the space group: Fddd (70). The formation energy from raw total energies comes out at -1.6117 eV per atom.


Density functional theory data (PBE) for a relaxed Ba2Li3IrO6 crystal.

Cell: 6.638 6.638 5.217 Å, 99.21 99.21 127.02°
Site moments in Bohr magnetons follow the coordinates.
Fractional positions:
Ba 0.328 0.672 0.000  0.01
Ba 0.672 0.328 0.000  0.01
Li 0.905 0.095 0.500  0.01
Li 0.095 0.905 0.500  0.01
Li 0.500 0.500 0.500  0.01
O 0.078 0.319 0.260  0.12
O 0.319 0.078 0.260  0.12
O 0.681 0.922 0.740  0.12
O 0.776 0.776 0.218  0.09
O 0.922 0.681 0.740  0.12
O 0.224 0.224 0.782  0.09
Ir 0.000 0.000 0.000  1.13

As for the space group: C2/m (12). The formation energy from raw total energies comes out at -1.7459 eV per atom. For the density of states at the Fermi level, the calculation gives 5.441 states/eV/cell.


Density functional theory data (PBE) for a relaxed Ba2Li2IrO6 crystal.

Cell: 6.458 6.458 5.199 Å, 96.26 96.26 120.48°
Site moments in Bohr magnetons follow the coordinates.
Fractional positions:
Ba 0.337 0.663 0.500  0.03
Ba 0.663 0.337 0.500  0.03
Li 0.102 0.898 0.000  0.02
Li 0.898 0.102 0.000  0.02
O 0.711 0.970 0.280  0.17
O 0.030 0.289 0.720  0.17
O 0.203 0.203 0.266  0.18
O 0.289 0.030 0.720  0.17
O 0.797 0.797 0.734  0.18
O 0.970 0.711 0.280  0.17
Ir 0.000 0.000 0.500  1.56

As for the space group: C2/m (12). The formation energy from raw total energies comes out at -1.7406 eV per atom. For the density of states at the Fermi level, the calculation gives 0.352 states/eV/cell.


Density functional theory data (PBE) for a relaxed BaLiIrO4 crystal.

Cell: 5.945 5.945 5.473 Å, 122.90 122.90 90.00°
Site moments in Bohr magnetons follow the coordinates.
Fractional positions:
O 0.460 0.544 0.626  0.17
O 0.166 0.083 0.626  0.17
O 0.917 0.540 0.374  0.17
O 0.456 0.834 0.374  0.17
Ir 0.250 0.750 0.500  1.02
Ba 0.000 0.000 0.000  0.02
Li 0.500 0.500 0.000  0.01

As for the space group: I-4 (82). The formation energy from raw total energies comes out at -1.4578 eV per atom. For the density of states at the Fermi level, the calculation gives 6.725 states/eV/cell.


Density functional theory data (PBE) for a relaxed Ba3Li2IrO8 crystal.

Cell: 5.728 5.728 7.583 Å, 90.00 90.00 120.00°
Site moments in Bohr magnetons follow the coordinates.
Fractional positions:
Li 0.667 0.333 0.766  -0.01
Li 0.333 0.667 0.234  -0.01
Ir 0.000 0.000 0.500  1.02
Ba 0.333 0.667 0.655  0.01
Ba 0.000 0.000 0.000  0.01
Ba 0.667 0.333 0.345  0.01
O 0.157 0.315 0.349  0.13
O 0.157 0.843 0.349  0.13
O 0.843 0.685 0.651  0.13
O 0.667 0.333 0.010  0.54
O 0.333 0.667 0.990  0.54
O 0.315 0.157 0.651  0.13
O 0.843 0.157 0.651  0.13
O 0.685 0.843 0.349  0.13

As for the space group: P-3m1 (164). The formation energy from raw total energies comes out at -1.7331 eV per atom. For the density of states at the Fermi level, the calculation gives 9.377 states/eV/cell.


Density functional theory data (PBE) for a relaxed BaLi2IrO4 crystal.

Cell: 5.177 5.571 5.571 Å, 97.85 62.31 62.31°
Site moments in Bohr magnetons follow the coordinates.
Fractional positions:
O 0.000 0.849 0.513  0.07
O 0.000 0.487 0.151  0.07
O 0.638 0.513 0.849  0.07
O 0.362 0.151 0.487  0.07
Ba 0.000 0.000 0.000  0.01
Li 0.500 0.750 0.250  0.00
Li 0.500 0.250 0.750  0.00
Ir 0.000 0.500 0.500  0.55

As for the space group: I-42m (121). The formation energy from raw total energies comes out at -1.4686 eV per atom. For the density of states at the Fermi level, the calculation gives 1.261 states/eV/cell.


Density functional theory data (PBE) for a relaxed Ba2LiP2Ir crystal.

Cell: 5.984 5.651 10.685 Å, 105.33 106.26 90.00°
Fractional positions:
Ba 0.393 0.144 0.289
Ba 0.104 0.356 0.711
Ba 0.607 0.856 0.711
Ba 0.896 0.644 0.289
P 0.660 0.431 0.862
P 0.340 0.569 0.138
P 0.798 0.069 0.138
P 0.202 0.931 0.862
Li 0.000 0.750 0.000
Li 0.000 0.250 0.000
Ir 0.500 0.250 0.000
Ir 0.500 0.750 0.000

As for the space group: Ibam (72). The formation enthalpy at 0 K is -0.748 eV/atom. For the density of states at the Fermi level, the calculation gives 4.962 states/eV/cell.


Density functional theory data (PBE) for a relaxed BaLiIrPb2 crystal.

Cell: 6.361 5.184 6.361 Å, 90.00 90.00 90.00°
Fractional positions:
Ir 0.000 0.500 0.000
Pb 0.500 0.000 0.000
Pb 0.000 0.000 0.500
Ba 0.000 0.000 0.000
Li 0.500 0.500 0.500

As for the space group: P4/mmm (123). The formation enthalpy at 0 K is 1.220 eV/atom. For the density of states at the Fermi level, the calculation gives 5.828 states/eV/cell.


Density functional theory data (PBE) for a relaxed Ba8LiIrPt2 crystal.

Cell: 7.788 7.562 9.492 Å, 90.01 90.00 89.09°
Fractional positions:
Ba 0.823 0.238 0.224
Ba 0.682 0.739 0.000
Ba 0.177 0.762 0.776
Ba 0.318 0.261 0.000
Ba 0.648 0.712 0.500
Ba 0.352 0.288 0.500
Ba 0.823 0.238 0.776
Ba 0.177 0.762 0.224
Pt 0.500 0.500 0.243
Pt 0.500 0.500 0.757
Ir 0.000 0.000 0.000
Li 0.000 0.000 0.500

As for the space group: P2/m (10). The formation enthalpy at 0 K is -0.330 eV/atom. For the density of states at the Fermi level, the calculation gives 4.531 states/eV/cell.


Density functional theory data (PBE) for a relaxed BaLi2SbIr crystal.

Cell: 5.256 5.157 5.256 Å, 90.00 90.00 90.00°
Fractional positions:
Ba 0.000 0.000 0.000
Sb 0.500 0.500 0.500
Ir 0.000 0.500 0.000
Li 0.000 0.000 0.500
Li 0.500 0.000 0.000

As for the space group: P4/mmm (123). The formation energy from raw total energies comes out at 1.0808 eV per atom. For the density of states at the Fermi level, the calculation gives 2.685 states/eV/cell.


Density functional theory data (PBE) for a relaxed Ba2LiSb4Ir3 crystal.

Cell: 4.758 4.758 10.648 Å, 90.00 90.00 90.00°
Fractional positions:
Ba 0.000 0.500 0.746
Ba 0.500 0.000 0.254
Sb 0.000 0.000 0.000
Sb 0.500 0.500 0.000
Sb 0.000 0.500 0.371
Sb 0.500 0.000 0.629
Ir 0.500 0.000 0.884
Ir 0.000 0.500 0.116
Ir 0.000 0.000 0.500
Li 0.500 0.500 0.500

As for the space group: P-4m2 (115). The formation energy from raw total energies comes out at -0.5675 eV per atom. For the density of states at the Fermi level, the calculation gives 6.387 states/eV/cell.


Density functional theory data (PBE) for a relaxed BaLiSc2Ir crystal.

Cell: 4.849 5.222 4.849 Å, 90.00 90.00 90.00°
Fractional positions:
Ir 0.500 0.500 0.500
Li 0.000 0.000 0.000
Sc 0.000 0.000 0.500
Sc 0.500 0.000 0.000
Ba 0.000 0.500 0.000

As for the space group: P4/mmm (123). The formation enthalpy at 0 K is 0.894 eV/atom. For the density of states at the Fermi level, the calculation gives 7.961 states/eV/cell.


Density functional theory data (PBE) for a relaxed Ba2LiIrSe crystal.

Cell: 5.918 5.918 4.704 Å, 90.00 90.00 90.00°
Fractional positions:
Li 0.000 0.000 0.500
Ir 0.000 0.000 0.000
Ba 0.000 0.500 0.000
Ba 0.500 0.000 0.000
Se 0.500 0.500 0.500

As for the space group: P4/mmm (123). The formation energy from raw total energies comes out at -0.5540 eV per atom. For the density of states at the Fermi level, the calculation gives 5.655 states/eV/cell.


Density functional theory data (PBE) for a relaxed BaLiSiIr crystal.

Cell: 4.133 4.133 12.647 Å, 90.00 90.00 90.00°
Fractional positions:
Ba 0.750 0.750 0.233
Ba 0.250 0.250 0.767
Li 0.250 0.750 0.500
Li 0.750 0.250 0.500
Ir 0.750 0.250 0.000
Ir 0.250 0.750 0.000
Si 0.750 0.750 0.903
Si 0.250 0.250 0.097

As for the space group: P4/nmm (129). The formation energy from raw total energies comes out at -0.5031 eV per atom. For the density of states at the Fermi level, the calculation gives 5.022 states/eV/cell.


Density functional theory data (PBE) for a relaxed BaLi2SiIr crystal.

Cell: 4.957 4.957 4.603 Å, 90.00 90.00 90.00°
Fractional positions:
Si 0.000 0.000 0.500
Ir 0.000 0.000 0.000
Li 0.500 0.000 0.000
Li 0.000 0.500 0.000
Ba 0.500 0.500 0.500

As for the space group: P4/mmm (123). The formation energy from raw total energies comes out at -0.3343 eV per atom. For the density of states at the Fermi level, the calculation gives 1.687 states/eV/cell.


Density functional theory data (PBE) for a relaxed BaLi2SnIr crystal.

Cell: 5.067 5.067 5.071 Å, 90.00 90.00 90.00°
Fractional positions:
Ir 0.000 0.000 0.000
Li 0.000 0.500 0.000
Li 0.500 0.000 0.000
Sn 0.000 0.000 0.500
Ba 0.500 0.500 0.500

As for the space group: P4/mmm (123). The formation enthalpy at 0 K is -0.249 eV/atom. For the density of states at the Fermi level, the calculation gives 1.950 states/eV/cell.